Record 1
Density functional theory data (PBE) for a geometry-optimized LiPa6Se12 structure.

* calculated volume: 522 Å³/cell
* E above lowest polymorph: 0.00 eV per formula unit

Structure (POSCAR):
```
LiPa6Se12
1.0
6.316 3.646 3.774
-6.316 3.646 3.774
0.000 -7.293 3.774
Li Pa Se
1 6 12
direct
0.000 0.000 0.000
0.130 0.294 0.627
0.294 0.627 0.130
0.373 0.870 0.706
0.627 0.130 0.294
0.706 0.373 0.870
0.870 0.706 0.373
0.045 0.936 0.684
0.064 0.316 0.955
0.177 0.568 0.427
0.316 0.955 0.064
0.427 0.177 0.568
0.432 0.573 0.823
0.568 0.427 0.177
0.573 0.823 0.432
0.684 0.045 0.936
0.823 0.432 0.573
0.936 0.684 0.045
0.955 0.064 0.316
```

=====

Record 2
Density functional theory data (PBE) for a geometry-optimized Li2PaSe3 structure.

* calculated volume: 304 Å³/cell
* E above lowest polymorph: 0.06 eV per formula unit

Structure (POSCAR):
```
Li2PaSe3
1.0
5.739 0.000 0.000
0.000 12.591 0.000
0.000 0.000 4.207
Li Pa Se
4 2 6
direct
0.000 0.137 0.000
0.000 0.863 0.000
0.500 0.363 0.000
0.500 0.637 0.000
0.000 0.500 0.500
0.500 0.000 0.500
0.000 0.000 0.500
0.000 0.348 0.000
0.000 0.652 0.000
0.500 0.152 0.000
0.500 0.500 0.500
0.500 0.848 0.000
```

=====

Record 3
Density functional theory data (PBE) for a geometry-optimized LiPa2Se6 structure.

* calculated volume: 211 Å³/cell
* E above lowest polymorph: 0.00 eV per formula unit

Structure (POSCAR):
```
LiPa2Se6
1.0
7.645 0.000 0.000
-3.822 6.621 0.000
0.000 0.000 4.162
Li Pa Se
1 2 6
direct
0.000 0.000 0.000
0.333 0.667 0.249
0.667 0.333 0.751
0.085 0.384 0.749
0.299 0.915 0.749
0.384 0.299 0.251
0.616 0.701 0.749
0.701 0.085 0.251
0.915 0.616 0.251
```

=====

Record 4
Density functional theory data (PBE) for a geometry-optimized Li3Sm2PaSe6 structure.

* calculated volume: 286 Å³/cell

Structure (POSCAR):
```
Li3Sm2PaSe6
1.0
3.551 -6.151 0.000
3.551 6.151 0.000
-2.372 0.000 6.553
Li Sm Pa Se
3 2 1 6
direct
0.000 0.000 0.000
0.333 0.667 0.000
0.667 0.333 0.000
0.167 0.833 0.500
0.833 0.167 0.500
0.500 0.500 0.500
0.087 0.413 0.238
0.260 0.260 0.759
0.413 0.087 0.238
0.587 0.913 0.762
0.740 0.740 0.241
0.913 0.587 0.762
```

=====

Record 5
Density functional theory data (PBE) for a geometry-optimized LiSm2PaSe4 structure.

* calculated volume: 195 Å³/cell

Structure (POSCAR):
```
LiSm2PaSe4
1.0
7.064 0.000 0.000
0.000 4.067 0.000
-2.329 0.000 6.776
Li Sm Pa Se
1 2 1 4
direct
0.000 0.000 0.000
0.500 0.000 0.500
0.500 0.500 0.000
0.000 0.500 0.500
0.235 0.500 0.240
0.238 0.000 0.755
0.762 0.000 0.245
0.765 0.500 0.760
```

=====

Record 6
Density functional theory data (PBE) for a geometry-optimized LiSm2PaSe6 structure.

* calculated volume: 304 Å³/cell

Structure (POSCAR):
```
LiSm2PaSe6
1.0
6.798 0.000 0.000
0.000 6.798 0.000
0.000 0.000 6.572
Li Sm Pa Se
1 2 1 6
direct
0.000 0.000 0.000
0.000 0.500 0.452
0.500 0.000 0.452
0.500 0.500 0.059
0.000 0.000 0.628
0.239 0.239 0.199
0.239 0.761 0.199
0.500 0.500 0.634
0.761 0.239 0.199
0.761 0.761 0.199
```

=====

Energy relative to the elements, uncorrected / eV per atom: -1.29, -1.31, -1.21, -1.53, -1.58, -1.25